Model 1:
This record from OQMD describes a geometry-optimized SrNbHg structure. The functional is PBE.

Results
Space-group type: No. 216

abc: 5.294 5.294 5.294
angles: 60.00 60.00 60.00
Positions (direct):
Sr: 0.000 0.000 0.000
Nb: 0.250 0.250 0.250
Hg: 0.750 0.750 0.750

---

Model 2:
This record from OQMD describes a geometry-optimized SrNbHg structure. The functional is PBE.

Results
Space-group type: No. 216

abc: 5.098 5.098 5.098
angles: 60.00 60.00 60.00
Positions (direct):
Sr: 0.000 0.000 0.000
Nb: 0.500 0.500 0.500
Hg: 0.750 0.750 0.750

---

Which structure is most stable? model 2, by 463 meV/atom over the runner-up.

---

Model 1:
This record from OQMD describes a geometry-optimized TmNbHg structure. The functional is PBE.

Results
Space-group type: No. 216

abc: 4.794 4.794 4.794
angles: 60.00 60.00 60.00
Positions (direct):
Tm: 0.000 0.000 0.000
Nb: 0.500 0.500 0.500
Hg: 0.750 0.750 0.750

---

Model 2:
This record from OQMD describes a geometry-optimized TmNbHg structure. The functional is PBE.

Results
Space-group type: No. 216

abc: 4.844 4.844 4.844
angles: 60.00 60.00 60.00
Positions (direct):
Tm: 0.000 0.000 0.000
Nb: 0.250 0.250 0.250
Hg: 0.750 0.750 0.750

---

Which structure is most stable? model 1, by 370 meV/atom over the runner-up.

---

Model 1:
This record from OQMD describes a geometry-optimized Zr2NbHg2 structure. The functional is PBE.

Results
Space-group type: No. 139

abc: 7.403 7.403 7.403
angles: 148.46 148.46 45.21
Positions (direct):
Zr: 0.250 0.750 0.500
Zr: 0.750 0.250 0.500
Nb: 0.000 0.000 0.000
Hg: 0.404 0.404 0.000
Hg: 0.596 0.596 0.000

---

Model 2:
This record from OQMD describes a geometry-optimized Zr2NbHg2 structure. The functional is PBE.

Results
Space-group type: No. 139

abc: 7.737 7.737 7.737
angles: 150.07 150.07 42.84
Positions (direct):
Zr: 0.095 0.095 0.000
Zr: 0.905 0.905 0.000
Nb: 0.500 0.500 0.000
Hg: 0.250 0.750 0.500
Hg: 0.750 0.250 0.500

---

Which structure is most stable? model 1, by 8 meV/atom over the runner-up.